(1)
LaCr3Fe | PBE-GGA | optimized geometry

Cell and atoms, written as extended XYZ:
```
5
Lattice="4.4589 0.0000 0.0000 0.0000 4.4589 0.0000 0.0000 0.0000 4.4589" Properties=species:S:1:pos:R:3 pbc="T T T"
Cr 0.0000 2.2294 0.0000
Cr 0.0000 0.0000 2.2294
Cr 2.2294 0.0000 0.0000
Fe 2.2294 2.2294 2.2294
La 0.0000 0.0000 0.0000
```

The excess energy over the best structure of this formula in the dataset is 1.4396 eV/atom. As for the space group: No. 221. The formation energy is 2.132 eV/atom.

(2)
CuIrSe2N | PBE-GGA | optimized geometry

Cell and atoms, written as extended XYZ:
```
5
Lattice="-3.9180 2.4219 -2.2927 -2.2347 -4.5322 -0.9686 -1.7422 0.1817 3.1692" Properties=species:S:1:pos:R:3 pbc="T T T"
Ir 0.0000 0.0000 0.0000
Cu -3.9475 -0.9643 -0.0461
Se -1.1173 -2.2661 -0.4843
Se -1.9590 1.2109 -1.1463
N -0.8711 0.0908 1.5846
```

The value obtained for the formation energy (no corrections) is 3.02 eV/f.u. The excess energy over the best structure of this formula in the dataset is 0.0000 eV/atom. As for the space group: No. 123.

(3)
Dy3Sc4Sn4 | PBE-GGA | optimized geometry

Cell and atoms, written as extended XYZ:
```
11
Lattice="-4.0315 -0.9725 -0.5306 2.3403 -7.8204 -3.4478 0.6755 1.1648 9.2038" Properties=species:S:1:pos:R:3 pbc="T T T"
Dy -0.0384 -0.7297 1.6291
Dy -0.9773 -6.8983 3.5962
Dy 1.1701 -3.9102 -1.7239
Sc -0.5740 -0.5563 5.3804
Sc -1.3682 -3.9757 1.2099
Sc -0.4417 -7.0717 -0.1551
Sc 0.3525 -3.6524 4.0155
Sn 1.0895 -5.4420 1.6958
Sn -2.1052 -2.1861 3.5295
Sn -0.1688 -6.6582 -2.9864
Sn -1.5224 -2.1346 -0.9921
```

As for the space group: No. 71. The formation energy is -0.552 eV/atom.

(4)
La3TbPr6Dy2 | PBE-GGA | optimized geometry

Cell and atoms, written as extended XYZ:
```
12
Lattice="6.3911 -0.0036 0.0075 -3.1971 5.5339 0.0075 -1.0829 -1.8751 11.9788" Properties=species:S:1:pos:R:3 pbc="T T T"
La -2.1386 3.6724 5.9969
La 4.2497 -0.0171 5.9969
La 1.0555 1.8276 5.9969
Tb 0.0000 0.0000 0.0000
Pr 3.1810 1.8159 9.0676
Pr 2.1251 3.6796 2.9351
Pr -1.0699 1.8394 2.9262
Pr -0.0169 3.6628 9.0676
Pr -0.0141 -0.0244 9.0587
Pr 2.1279 -0.0075 2.9262
Dy -0.0006 3.6878 0.0075
Dy 3.1946 1.8425 0.0075
```

As for the space group: No. 12. The formation energy is 0.018 eV/atom.

(5)
SrFe2Ag | PBE-GGA | optimized geometry

Cell and atoms, written as extended XYZ:
```
4
Lattice="5.3382 -0.0306 -0.1027 -2.4460 5.0987 0.0426 0.4462 0.8256 2.7683" Properties=species:S:1:pos:R:3 pbc="T T T"
Ag 1.4461 2.5340 -0.0301
Fe 0.0000 0.0000 0.0000
Fe 2.8922 0.3975 1.3328
Sr -0.9999 2.9621 1.4055
```

As for the space group: No. 12. The formation energy is 0.802 eV/atom.

(6)
InFe2 | PBE-GGA | optimized geometry

Cell and atoms, written as extended XYZ:
```
6
Lattice="5.8934 3.4754 2.7437 1.6010 6.4603 3.1685 -4.2345 -6.0043 -0.5966" Properties=species:S:1:pos:R:3 pbc="T T T"
In 0.0000 0.0000 0.0000
In 2.7031 1.2195 2.5516
Fe 4.3658 5.7879 3.4440
Fe -0.0616 1.8919 2.2760
Fe 3.1287 4.1479 2.4681
Fe 1.1754 3.5320 3.2519
```

As for the space group: No. 141. The formation energy is 0.490 eV/atom.

(7)
PuHgO3 | PBE-GGA | optimized geometry

Cell and atoms, written as extended XYZ:
```
20
Lattice="-2.9112 -5.8991 -1.5702 6.0180 -4.2877 4.9638 -7.7548 2.9793 3.1979" Properties=species:S:1:pos:R:3 pbc="T T T"
Pu -5.0679 -0.2972 3.2432
Pu 0.4199 -6.9103 3.3483
Pu 1.8920 -3.9695 4.1355
Pu -6.5400 -3.2380 2.4560
Hg -2.6861 -4.8511 1.3438
Hg -3.3467 -5.3432 4.4717
Hg -1.9619 -2.3563 5.2477
Hg -1.3013 -1.8643 2.1199
O -6.9983 -1.3634 2.6599
O -8.2770 -3.9544 1.9706
O 2.3503 -5.8441 3.9316
O 3.6290 -3.2531 4.6209
O 0.7931 -6.6142 1.5425
O 0.0242 -7.1945 5.1513
O -5.4411 -0.5933 5.0491
O -4.6722 -0.0130 1.4402
O 0.1446 -4.6707 3.6504
O 1.4158 -2.0949 4.3356
O -4.7925 -2.5368 2.9411
O -6.0637 -5.1126 2.2559
```

The value obtained for the formation energy (no corrections) is -9.72 eV/f.u. As for the space group: No. 15.

(8)
TlCrP | PBE-GGA | optimized geometry

Cell and atoms, written as extended XYZ:
```
3
Lattice="4.5016 0.0000 0.0000 2.2508 3.8985 0.0000 2.2508 1.2995 3.6755" Properties=species:S:1:pos:R:3 pbc="T T T"
Cr 2.2508 1.2995 0.9189
P 0.0000 0.0000 0.0000
Tl 4.5016 2.5990 1.8378
```

The excess energy over the best structure of this formula in the dataset is 0.5729 eV/atom. As for the space group: No. 216. The formation energy is 0.421 eV/atom.

(9)
CaLuSiAu | PBE-GGA | optimized geometry

Cell and atoms, written as extended XYZ:
```
4
Lattice="-1.1094 0.4443 4.8668 -2.1647 -3.8082 2.4343 2.5989 -2.5953 3.4095" Properties=species:S:1:pos:R:3 pbc="T T T"
Ca -0.3376 -2.9796 5.3553
Lu 0.0000 0.0000 0.0000
Au -0.1688 -1.4898 2.6776
Si -0.5064 -4.4694 8.0329
```

The value obtained for the formation energy (no corrections) is -2.55 eV/f.u. As for the space group: No. 216.

(10)
TaNi2GeH | PBE-GGA | optimized geometry

Cell and atoms, written as extended XYZ:
```
5
Lattice="3.7107 0.0000 0.0000 0.0000 3.7107 0.0000 0.0000 0.0000 4.1156" Properties=species:S:1:pos:R:3 pbc="T T T"
Ni 0.0000 1.8553 0.0000
Ni 1.8553 0.0000 0.0000
Ge 1.8553 1.8553 2.0578
H 0.0000 0.0000 0.0000
Ta 0.0000 0.0000 2.0578
```

As for the space group: No. 123.

(11)
AlZnFe2 | PBE-GGA | optimized geometry

Cell and atoms, written as extended XYZ:
```
4
Lattice="-2.5324 6.8529 -4.4510 -4.3930 6.8855 -2.5452 -2.0291 8.0363 -2.1183" Properties=species:S:1:pos:R:3 pbc="T T T"
Zn -2.2386 5.4437 -2.2786
Fe -0.0139 0.0338 -0.0141
Fe -4.4634 10.8536 -4.5431
Al -6.7159 16.3311 -6.8358
```

As for the space group: No. 166. The formation energy is -0.045 eV/atom.

(12)
LaPrTe2 | PBE-GGA | optimized geometry

Cell and atoms, written as extended XYZ:
```
4
Lattice="-1.0425 0.8263 4.2294 -2.7426 -2.7181 2.1789 4.9277 -4.9729 4.5100" Properties=species:S:1:pos:R:3 pbc="T T T"
La 2.3182 -6.1737 8.7492
Pr 0.6548 -3.4909 5.4911
Te 3.3789 -3.8863 3.9160
Te 0.2897 -1.7190 2.7311
```

The value obtained for the formation energy (no corrections) is -6.01 eV/f.u. The excess energy over the best structure of this formula in the dataset is 0.0205 eV/atom. As for the space group: No. 160.

(13)
TaBRu3 | PBE-GGA | optimized geometry

Cell and atoms, written as extended XYZ:
```
10
Lattice="5.0053 0.0096 0.0003 -1.6188 5.4954 -0.0020 1.5671 -2.5099 4.8931" Properties=species:S:1:pos:R:3 pbc="T T T"
Ru 3.7764 3.3932 3.1851
Ru 1.1527 2.5025 1.9734
Ru 1.9816 -0.0684 2.0458
Ru 3.1386 4.6376 0.6915
Ru 3.7752 1.9872 0.8087
Ru 2.0367 1.3320 4.4329
B 3.0370 0.1293 0.2053
B 3.6795 -1.2182 2.4254
Ta 2.6496 -1.3060 4.5163
Ta 4.6625 0.7678 3.2338
```

As for the space group: No. 1. The formation energy is -0.252 eV/atom.

(14)
Ca4Sb2P | PBE-GGA | optimized geometry

Cell and atoms, written as extended XYZ:
```
7
Lattice="-1.7292 -4.6064 1.8698 2.4291 -2.5102 -3.9374 6.3648 2.8917 5.6014" Properties=species:S:1:pos:R:3 pbc="T T T"
Sb 2.1575 -3.7377 0.1957
Sb 4.9073 -0.4872 3.3380
Ca 4.7406 -3.9941 1.9528
Ca 2.3242 -0.2307 1.5810
Ca 1.2146 -1.2551 -1.9687
Ca -0.8646 -2.3032 0.9349
P 0.0000 0.0000 0.0000
```

The value obtained for the formation energy (no corrections) is -6.41 eV/f.u. As for the space group: No. 139.

(15)
Li2TaAu | PBE-GGA | optimized geometry

Cell and atoms, written as extended XYZ:
```
4
Lattice="-1.8349 -3.5095 -8.7016 0.5306 -5.0186 -8.1199 -2.0220 -5.9473 -7.2071" Properties=species:S:1:pos:R:3 pbc="T T T"
Au -2.4947 -10.8565 -18.0215
Li -0.0209 -0.0908 -0.1508
Li -1.6423 -7.1469 -11.8635
Ta -0.8316 -3.6188 -6.0072
```

The excess energy over the best structure of this formula in the dataset is 0.0158 eV/atom. As for the space group: No. 166. The formation energy is 0.025 eV/atom.

(16)
PrZrBi2 | PBE-GGA | optimized geometry

Cell and atoms, written as extended XYZ:
```
4
Lattice="-3.0285 2.6910 -1.7594 -4.0167 0.2903 1.8140 -0.0183 6.4215 4.3091" Properties=species:S:1:pos:R:3 pbc="T T T"
Pr -3.5318 4.7014 2.1819
Zr 0.0000 0.0000 0.0000
Bi -1.8214 2.2214 0.9887
Bi -5.2421 7.1814 3.3750
```

The excess energy over the best structure of this formula in the dataset is 0.0000 eV/atom. As for the space group: No. 166. The formation energy is -0.568 eV/atom.

(17)
TeAsIr3 | PBE-GGA | optimized geometry

Cell and atoms, written as extended XYZ:
```
5
Lattice="4.6363 0.0000 0.0000 0.0000 4.6363 0.0000 0.0000 0.0000 4.6363" Properties=species:S:1:pos:R:3 pbc="T T T"
As 0.0000 0.0000 0.0000
Ir 0.0000 2.3182 0.0000
Ir 0.0000 0.0000 2.3182
Ir 2.3182 0.0000 0.0000
Te 2.3182 2.3182 2.3182
```

The value obtained for the formation energy (no corrections) is 5.18 eV/f.u. The excess energy over the best structure of this formula in the dataset is 0.0000 eV/atom. As for the space group: No. 221.

(18)
Sr3MnAg | PBE-GGA | optimized geometry

Cell and atoms, written as extended XYZ:
```
5
Lattice="6.0540 0.0000 0.0000 0.0000 6.0540 0.0000 0.0000 0.0000 6.0540" Properties=species:S:1:pos:R:3 pbc="T T T"
Sr 0.0000 3.0270 0.0000
Sr 0.0000 0.0000 3.0270
Sr 3.0270 0.0000 0.0000
Mn 3.0270 3.0270 3.0270
Ag 0.0000 0.0000 0.0000
```

The excess energy over the best structure of this formula in the dataset is 0.0000 eV/atom. As for the space group: No. 221. The formation energy is 0.403 eV/atom.

(19)
Mn2AsOs | PBE-GGA | optimized geometry

Cell and atoms, written as extended XYZ:
```
4
Lattice="-2.6462 1.3342 -0.3168 -1.3496 -2.4089 1.1284 0.4915 2.2596 5.4114" Properties=species:S:1:pos:R:3 pbc="T T T"
As -1.6165 1.2162 4.6054
Mn 0.4876 2.2419 5.3691
Mn -1.8803 0.0036 1.7013
Os 0.2420 1.1126 2.6644
```

As for the space group: No. 99. The formation energy is 0.157 eV/atom.

(20)
HfBeH2Cl | PBE-GGA | optimized geometry

Cell and atoms, written as extended XYZ:
```
5
Lattice="-0.4469 0.2139 3.3887 4.3936 -3.2556 0.7850 2.0274 2.7586 0.0932" Properties=species:S:1:pos:R:3 pbc="T T T"
Be 0.0000 0.0000 0.0000
Hf 2.9870 -0.1415 2.1335
H 1.0137 1.3793 0.0466
H -0.2235 0.1070 1.6943
Cl 2.1968 -1.6278 0.3925
```

As for the space group: No. 123.

(21)
SmHo6Er12 | PBE-GGA | optimized geometry

Cell and atoms, written as extended XYZ:
```
19
Lattice="8.3752 0.7225 0.8656 -0.5555 8.3880 0.8656 -0.5555 -0.6472 8.4076" Properties=species:S:1:pos:R:3 pbc="T T T"
Sm 0.0000 0.0000 0.0000
Ho 5.5565 7.9609 4.0740
Ho 5.5506 2.5790 1.5781
Ho 0.2377 5.6519 2.8195
Ho 1.7077 0.5024 6.0648
Ho 1.7136 5.8843 8.5607
Ho 7.0265 2.8114 7.3193
Er 5.9248 4.8450 4.8063
Er 2.9202 6.4420 5.6259
Er 3.8908 3.5511 7.3436
Er 1.3393 3.6183 5.3326
Er 4.3439 2.0213 4.5129
Er 3.3734 4.9121 2.7952
Er -0.2459 1.5604 3.1716
Er 5.6846 5.3415 9.5785
Er 4.4180 8.2755 8.0368
Er 7.5101 6.9029 6.9672
Er 1.5796 3.1218 0.5603
Er 2.8462 0.1877 2.1020
```

The excess energy over the best structure of this formula in the dataset is 0.0000 eV/atom. As for the space group: No. 148. The formation energy is 0.161 eV/atom.

(22)
Pr4Zn5Ga2 | PBE-GGA | optimized geometry

Cell and atoms, written as extended XYZ:
```
11
Lattice="-3.1096 2.7148 1.6846 0.2309 -3.3822 5.8767 6.1741 5.5199 2.5014" Properties=species:S:1:pos:R:3 pbc="T T T"
Pr 2.1871 2.0235 6.6760
Pr 3.8815 5.4975 4.2052
Pr 1.1083 2.8290 3.3866
Pr -0.5861 -0.6450 5.8575
Zn 2.0541 -0.1446 4.0247
Zn 0.9537 0.1778 1.4740
Zn 0.1154 -1.6911 2.9383
Zn 5.4513 1.9599 6.9040
Zn 4.3509 2.2823 4.3533
Ga 3.9730 3.3039 2.0093
Ga 2.4320 -1.1662 6.3688
```

As for the space group: No. 10. The formation energy is -0.337 eV/atom.

(23)
ErZn5Co2 | PBE-GGA | optimized geometry

Cell and atoms, written as extended XYZ:
```
8
Lattice="-1.3953 -3.2683 -1.4833 4.6376 -3.8630 -0.8495 -0.3739 -4.1344 4.4630" Properties=species:S:1:pos:R:3 pbc="T T T"
Er 0.0000 0.0000 0.0000
Zn 2.1318 -3.9987 1.8068
Zn 1.4443 -4.8246 -0.7253
Zn 1.4241 -6.4411 2.8556
Zn 3.2597 -6.3417 0.9097
Zn -0.3913 -4.9240 1.2205
Co 2.2390 -8.5226 1.6767
Co 0.6294 -2.7431 0.4536
```

As for the space group: No. 71. The formation energy is -0.121 eV/atom.

(24)
CsKRbSe2 | PBE-GGA | optimized geometry

Cell and atoms, written as extended XYZ:
```
5
Lattice="6.4960 0.0000 0.0000 0.0000 6.0699 0.0000 0.0000 0.0000 6.4960" Properties=species:S:1:pos:R:3 pbc="T T T"
Cs 0.0000 0.0000 0.0000
K 0.0000 3.0349 0.0000
Se 0.0000 0.0000 3.2480
Se 3.2480 0.0000 0.0000
Rb 3.2480 3.0349 3.2480
```

The value obtained for the formation energy (no corrections) is -1.34 eV/f.u. As for the space group: No. 123.

(25)
Be2TcC | PBE-GGA | optimized geometry

Cell and atoms, written as extended XYZ:
```
8
Lattice="-1.8719 5.7187 -0.4101 -4.8500 -1.8095 -3.0950 -4.4079 1.7386 0.0145" Properties=species:S:1:pos:R:3 pbc="T T T"
Be -2.6985 3.2338 -0.6002
Be -4.5469 0.5674 -2.0214
Be -6.2921 2.5962 -1.6006
Be -8.7222 4.8981 -2.7590
C -3.3609 1.9546 -1.7525
C -6.3094 0.9418 -2.4165
Tc 0.0000 0.0000 0.0000
Tc -4.8204 4.7059 -1.0740
```

As for the space group: No. 122. The formation energy is 0.280 eV/atom.

(26)
LiTiOs2S | PBE-GGA | optimized geometry

Cell and atoms, written as extended XYZ:
```
5
Lattice="4.3115 0.0000 0.0000 0.0000 3.8161 0.0000 0.0000 0.0000 4.3115" Properties=species:S:1:pos:R:3 pbc="T T T"
S 0.0000 1.9080 0.0000
Li 0.0000 0.0000 0.0000
Os 0.0000 0.0000 2.1557
Os 2.1557 0.0000 0.0000
Ti 2.1557 1.9080 2.1557
```

The value obtained for the formation energy (no corrections) is 4.92 eV/f.u. As for the space group: No. 123.

no.,magnetization (μB per cell),E_tot (eV/cell)
1,0.03,-31.6
2,0.00,-25.2
3,2.35,-61.2
4,0.00,-57.1
5,4.98,-18.3
6,6.75,-36.4
7,8.51,-156.9
8,3.99,-16.1
9,0.00,-17.8
10,0.00,-32.3
11,4.35,-22.1
12,0.00,-22.0
13,0.00,-95.2
14,0.00,-28.1
15,0.00,-18.9
16,0.00,-23.4
17,0.00,-29.2
18,4.58,-15.0
19,2.69,-33.6
20,0.00,-19.5
21,0.00,-83.9
22,0.00,-35.2
23,0.00,-26.1
24,1.00,-11.2
25,0.00,-51.8
26,0.00,-31.5